No. 1
TcTeCI2: PBEsol geometry, SCAN.

Lattice parameters (Å, degrees): 4.8808 4.8155 4.8155 90.00 90.00 90.00
Element x y z (fractional)
I 0.0000 0.5000 0.0000
Te 0.5000 0.0000 0.0000
I 0.0000 0.0000 0.5000
Tc 0.5000 0.5000 0.5000
C 0.0000 0.0000 0.0000

Space group: P4/mmm
DOS at the Fermi energy, states/eV per atom: 0.306
Magnetic moment, μB per formula unit: 4.7

***

No. 2
ZrTcCI2: PBEsol geometry, SCAN.

Lattice parameters (Å, degrees): 4.3419 4.7752 4.7752 90.00 90.00 90.00
Element x y z (fractional)
I 0.0000 0.0000 0.5000
Tc 0.5000 0.5000 0.5000
C 0.0000 0.0000 0.0000
Zr 0.5000 0.0000 0.0000
I 0.0000 0.5000 0.0000

Space group: P4/mmm
DOS at the Fermi energy, states/eV per atom: 0.565
Magnetic moment, μB per formula unit: 2.6

***

No. 3
Ti2TeCI: PBEsol geometry, SCAN.

Lattice parameters (Å, degrees): 4.9815 4.9815 5.8264 90.00 90.00 90.00
Element x y z (fractional)
C 0.5000 0.5000 0.5000
I 0.0000 0.0000 0.0000
Ti 0.5000 0.0000 0.0000
Te 0.0000 0.0000 0.5000
Ti 0.0000 0.5000 0.0000

Space group: P4/mmm
DOS at the Fermi energy, states/eV per atom: 0.772
Magnetic moment, μB per formula unit: 5.4

***

No. 4
TiC2I: PBEsol geometry, SCAN.

Lattice parameters (Å, degrees): 5.0761 5.0761 6.1812 114.24 114.24 90.00
Element x y z (fractional)
Ti 0.7500 0.2500 0.5000
C 0.4302 0.8750 0.2500
I 0.2500 0.7500 0.5000
C 0.1250 0.1802 0.7500
C 0.6250 0.5698 0.7500
I 0.0000 0.0000 0.0000
C 0.8198 0.3750 0.2500
Ti 0.5000 0.5000 0.0000

Space group: I-42d
DOS at the Fermi energy, states/eV per atom: 0.695
Magnetic moment, μB per formula unit: 0.0

***

No. 5
TiC2I2: PBEsol geometry, SCAN.

Lattice parameters (Å, degrees): 5.0041 5.0041 5.0041 110.05 110.05 108.31
Element x y z (fractional)
I 0.7500 0.2500 0.5000
I 0.2500 0.7500 0.5000
C 0.6092 0.6092 0.0000
C 0.3908 0.3908 0.0000
Ti 0.0000 0.0000 0.0000

Space group: I4/mmm
DOS at the Fermi energy, states/eV per atom: 0.579
Magnetic moment, μB per formula unit: 1.0

***

No. 6
TlC3I: PBEsol geometry, SCAN.

Lattice parameters (Å, degrees): 4.2645 4.2645 4.2645 90.00 90.00 90.00
Element x y z (fractional)
C 0.5000 0.0000 0.0000
I 0.0000 0.0000 0.0000
C 0.0000 0.0000 0.5000
Tl 0.5000 0.5000 0.5000
C 0.0000 0.5000 0.0000

Space group: Pm-3m
DOS at the Fermi energy, states/eV per atom: 0.594
Offset from the most stable computed form, meV per atom: 0.0
Magnetic moment, μB per formula unit: 2.1

***

No. 7
TlC3I: PBEsol geometry, SCAN.

Lattice parameters (Å, degrees): 4.4711 4.4711 4.4711 90.00 90.00 90.00
Element x y z (fractional)
C 0.0000 0.0000 0.5000
Tl 0.0000 0.0000 0.0000
I 0.5000 0.5000 0.5000
C 0.0000 0.5000 0.0000
C 0.5000 0.0000 0.0000

Space group: Pm-3m
DOS at the Fermi energy, states/eV per atom: 0.540
Offset from the most stable computed form, meV per atom: 118.6
Magnetic moment, μB per formula unit: 3.8

***

No. 8
Y2CI2: PBEsol geometry, SCAN.

Lattice parameters (Å, degrees): 3.8157 3.8157 10.5367 90.00 90.00 120.00
Element x y z (fractional)
C 0.0000 0.0000 0.5000
I 0.3333 0.6667 0.8268
Y 0.6667 0.3333 0.6236
Y 0.3333 0.6667 0.3764
I 0.6667 0.3333 0.1732

Space group: P-3m1
Magnetic moment, μB per formula unit: 0.0

***

No. 9
YCI3: PBEsol geometry, SCAN.

Lattice parameters (Å, degrees): 5.9046 5.9046 5.9046 90.00 90.00 90.00
Element x y z (fractional)
I 0.5000 0.0000 0.0000
Y 0.0000 0.0000 0.0000
I 0.0000 0.5000 0.0000
C 0.5000 0.5000 0.5000
I 0.0000 0.0000 0.5000

Space group: Pm-3m
DOS at the Fermi energy, states/eV per atom: 1.865
Magnetic moment, μB per formula unit: 2.0

***

No. 10
Y6C2I7: PBEsol geometry, SCAN.

Lattice parameters (Å, degrees): 3.8635 10.8987 11.1799 67.47 80.05 79.79
Element x y z (fractional)
C 0.2794 0.8398 0.6015
Y 0.6899 0.9892 0.6310
C 0.7206 0.1602 0.3985
I 0.3935 0.1535 0.0596
I 0.5000 0.5000 0.5000
I 0.0551 0.1606 0.7292
Y 0.1369 0.2844 0.4418
Y 0.7668 0.2923 0.1740
I 0.1595 0.5145 0.1664
Y 0.2332 0.7077 0.8260
Y 0.8631 0.7156 0.5582
I 0.8405 0.4855 0.8336
I 0.9449 0.8394 0.2708
I 0.6065 0.8465 0.9404
Y 0.3101 0.0108 0.3690

Space group: C2/m
DOS at the Fermi energy, states/eV per atom: 0.298
Magnetic moment, μB per formula unit: 0.0

***

No. 11
Zn3CI: PBEsol geometry, SCAN.

Lattice parameters (Å, degrees): 4.3542 4.3542 4.3542 90.00 90.00 90.00
Element x y z (fractional)
Zn 0.5000 0.0000 0.0000
Zn 0.0000 0.0000 0.5000
Zn 0.0000 0.5000 0.0000
C 0.0000 0.0000 0.0000
I 0.5000 0.5000 0.5000

Space group: Pm-3m
DOS at the Fermi energy, states/eV per atom: 0.314
Magnetic moment, μB per formula unit: 0.0

***

No. 12
InC2: PBEsol geometry, SCAN.

Lattice parameters (Å, degrees): 4.6488 4.6488 4.6488 60.00 60.00 60.00
Element x y z (fractional)
In 0.5000 0.5000 0.5000
C 0.1250 0.1250 0.6250
C 0.1250 0.1250 0.1250
In 0.7500 0.7500 0.7500
C 0.6250 0.1250 0.1250
C 0.1250 0.6250 0.1250

Space group: Fd-3m
ΔE_f, kJ/mol of formula units: 922
DOS at the Fermi energy, states/eV per atom: 0.518
Offset from the most stable computed form, meV per atom: 1740.7
Magnetic moment, μB per formula unit: 0.0

***

no.,total energy (eV/atom)
1,-29.52
2,-28.50
3,-20.87
4,-16.82
5,-21.02
6,-24.54
7,-24.42
8,-29.00
9,-29.19
10,-30.87
11,-16.87
12,-14.68